(1)
DFT (PBE-GGA) results for a relaxed structure of ScSF.

POSCAR file:
```
ScSF
1.0
-3.365 1.213 0.747
-0.109 -2.165 3.024
1.307 3.475 0.245
S Sc F
1 1 1
Direct
0.667 0.333 0.667 S
0.166 0.667 0.333 Sc
0.167 0.000 0.000 F
```

Computed properties:
Uncorrected formation energy ... -2.6000 eV per atom
Crystal system ... hexagonal

(2)
DFT (PBE-GGA) results for a relaxed structure of ScS2F.

POSCAR file:
```
ScS2F
1.0
-2.291 -2.693 0.483
1.697 -1.893 -2.504
5.525 -6.033 5.764
S F Sc
4 2 2
Direct
0.631 0.125 0.250 S
0.875 0.881 0.750 S
0.375 0.369 0.750 S
0.119 0.625 0.250 S
0.500 0.500 0.000 F
0.250 0.750 0.500 F
0.000 0.000 0.000 Sc
0.750 0.250 0.500 Sc
```

Computed properties:
Fermi-level density of states ... 1.85 states/eV/f.u.
Uncorrected formation energy ... -1.2277 eV per atom
Crystal system ... tetragonal
Energy above the most stable polymorph in this dataset ... 0.11 eV per formula unit

(3)
DFT (PBE-GGA) results for a relaxed structure of ScS2F.

POSCAR file:
```
ScS2F
1.0
-2.731 4.164 4.940
-2.939 0.669 6.334
0.304 2.581 6.516
Sc S F
1 2 1
Direct
0.500 0.500 0.500 Sc
0.899 0.899 0.899 S
0.101 0.101 0.101 S
0.000 0.000 0.000 F
```

Computed properties:
Fermi-level density of states ... 0.04 states/eV/f.u.
Uncorrected formation energy ... -1.2549 eV per atom
Crystal system ... trigonal
Energy above the most stable polymorph in this dataset ... 0.00 eV per formula unit

(4)
DFT (PBE-GGA) results for a relaxed structure of ScS6F2.

POSCAR file:
```
ScS6F2
1.0
3.106 -0.237 -0.115
-0.740 8.860 -4.711
0.047 -0.717 8.568
S F Sc
6 2 1
Direct
0.797 0.623 0.239 S
0.866 0.725 0.671 S
0.134 0.275 0.329 S
0.203 0.377 0.761 S
0.886 0.805 0.496 S
0.114 0.195 0.504 S
0.473 0.918 0.078 F
0.527 0.082 0.922 F
0.000 0.000 0.000 Sc
```

Computed properties:
Fermi-level density of states ... 3.04 states/eV/f.u.
Uncorrected formation energy ... -1.1299 eV per atom
Crystal system ... triclinic

(5)
DFT (PBE-GGA) results for a relaxed structure of ScSF2.

POSCAR file:
```
ScSF2
1.0
1.765 0.000 8.981
-0.882 1.528 8.981
-0.882 -1.528 8.981
Sc F S
1 2 1
Direct
0.500 0.500 0.500 Sc
0.877 0.877 0.877 F
0.123 0.123 0.123 F
0.000 0.000 0.000 S
```

Computed properties:
Fermi-level density of states ... 2.73 states/eV/f.u.
Uncorrected formation energy ... -1.9743 eV per atom
Crystal system ... trigonal
Energy above the most stable polymorph in this dataset ... 0.99 eV per formula unit

(6)
DFT (PBE-GGA) results for a relaxed structure of ScSF.

POSCAR file:
```
ScSF
1.0
-0.760 -3.045 1.260
-0.911 -1.049 -3.083
8.572 -0.476 -0.516
S F Sc
2 2 2
Direct
0.410 0.910 0.820 S
0.090 0.590 0.180 S
0.750 0.750 0.500 F
0.250 0.250 0.500 F
0.845 0.345 0.691 Sc
0.655 0.155 0.309 Sc
```

Computed properties:
Uncorrected formation energy ... -2.5604 eV per atom
Crystal system ... tetragonal

(7)
DFT (PBE-GGA) results for a relaxed structure of ScS2F.

POSCAR file:
```
ScS2F
1.0
0.000 3.134 3.134
3.134 0.000 3.134
3.134 3.134 0.000
F Sc S
1 1 2
Direct
0.000 0.000 0.000 F
0.500 0.500 0.500 Sc
0.750 0.750 0.750 S
0.250 0.250 0.250 S
```

Computed properties:
Fermi-level density of states ... 3.23 states/eV/f.u.
Uncorrected formation energy ... -0.9919 eV per atom
Crystal system ... cubic
Energy above the most stable polymorph in this dataset ... 1.05 eV per formula unit

(8)
DFT (PBE-GGA) results for a relaxed structure of ScSF.

POSCAR file:
```
ScSF
1.0
-2.396 -0.479 2.133
0.010 -3.167 -0.699
3.995 1.169 2.285
S Sc F
1 1 1
Direct
0.014 0.014 0.028 S
0.675 0.675 0.349 Sc
0.311 0.311 0.623 F
```

Computed properties:
Fermi-level density of states ... 0.44 states/eV/f.u.
Uncorrected formation energy ... -2.1338 eV per atom
Crystal system ... tetragonal